Entry from the Alexandria database: a relaxed structure of Nb3CuPd (PBE).

- ρ: 6.6 g/cm³
- Formation energy from the elements: 7.4 eV per formula unit
- N(E_F): 10.25 states/eV/cell
- Excess energy over the best structure of this formula in the dataset: 369 meV/atom

Cell lengths 4.8374, 4.8374, 4.8374 Å; angles 90.00, 90.00, 90.00 degrees
Positions (direct):
Pd 0.0000 0.0000 0.0000
Nb 0.0000 0.0000 0.5000
Nb 0.0000 0.5000 0.0000
Cu 0.5000 0.5000 0.5000
Nb 0.5000 0.0000 0.0000